Compound: CrPdBrF2
Source: the Alexandria database
Functional: PBE+U
Structure: relaxed

Calculated values
- Uncorrected energy: -5.020 eV per atom
- Space-group type: No. 123

a b c (Å): 3.881 3.881 6.129
angles (deg): 90.00 90.00 90.00
Sites, in units of the cell vectors:
Cr 0.000 0.000 0.000
Pd 0.500 0.500 0.500
Br 0.000 0.000 0.500
F 0.000 0.500 0.000
F 0.500 0.000 0.000